(1)
Computed, not measured: a relaxed MgBeTl2 crystal at the PBE-GGA level of DFT.

Unit cell a=3.8402 b=4.2801 c=5.8120 alpha=90.00 beta=109.27 gamma=90.00
Last column: nearest neighbours and their distance in Å.
Sites, in units of the cell vectors:
Mg  0.0000  0.0000  0.0000  2 Be 2.74, 6 Tl 3.02-3.05
Be  0.8432  0.5000  0.6868  2 Mg 2.74, 5 Tl 2.77-2.95
Tl  0.2840  0.0000  0.5727  4 Be 2.94-2.95, 3 Mg 3.02-3.14
Tl  0.5919  0.5000  0.1821  1 Be 2.77, 4 Mg 3.04-3.05

Computed properties:
* Fermi-level density of states: 1.51 states/eV/f.u.
* distance to the lowest polymorph of the same formula: 48 meV/atom
* calculated formation energy: 0.378 eV/atom
* ρ: 8.141 g cm⁻³

(2)
Computed, not measured: a relaxed Mg2BeTl2 crystal at the PBE-GGA level of DFT.

Unit cell a=6.9408 b=6.9408 c=4.6687 alpha=90.00 beta=90.00 gamma=90.00
Last column: nearest neighbours and their distance in Å.
Sites, in units of the cell vectors:
Mg  0.1594  0.3406  0.0000  6 Tl 2.94-3.21, 1 Mg 3.13
Mg  0.3406  0.8406  0.0000  6 Tl 2.94-3.21, 1 Mg 3.13
Mg  0.6594  0.1594  0.0000  6 Tl 2.94-3.21, 1 Mg 3.13
Mg  0.8406  0.6594  0.0000  6 Tl 2.94-3.21, 1 Mg 3.13
Be  0.0000  0.0000  0.5000  4 Tl 2.61
Be  0.5000  0.5000  0.5000  4 Tl 2.61
Tl  0.1589  0.6589  0.5000  2 Be 2.61
Tl  0.3411  0.1589  0.5000  2 Be 2.61
Tl  0.6589  0.8411  0.5000  2 Be 2.61
Tl  0.8411  0.3411  0.5000  2 Be 2.61

Computed properties:
* Fermi-level density of states: 1.64 states/eV/f.u.
* calculated formation energy: 0.310 eV/atom
* ρ: 6.887 g cm⁻³

(3)
Computed, not measured: a relaxed Mg3BeTl crystal at the PBE-GGA level of DFT.

Unit cell a=4.8575 b=4.8575 c=4.8575 alpha=90.00 beta=90.00 gamma=90.00
Last column: nearest neighbours and their distance in Å.
Sites, in units of the cell vectors:
Mg  0.0000  0.0000  0.5000  2 Be 2.43
Mg  0.0000  0.5000  0.0000  2 Be 2.43
Mg  0.5000  0.0000  0.0000  2 Be 2.43
Be  0.0000  0.0000  0.0000  6 Mg 2.43
Tl  0.5000  0.5000  0.5000  12 Mg 3.43

Computed properties:
* Fermi-level density of states: 1.24 states/eV/f.u.
* distance to the lowest polymorph of the same formula: 0 meV/atom
* calculated formation energy: 0.209 eV/atom
* ρ: 4.148 g cm⁻³

(4)
Computed, not measured: a relaxed MgBe2Tl crystal at the PBE-GGA level of DFT.

Unit cell a=3.9206 b=3.9206 c=5.5620 alpha=109.65 beta=109.65 gamma=60.23
Last column: nearest neighbours and their distance in Å.
Sites, in units of the cell vectors:
Mg  0.0000  0.0000  0.0000  6 Be 2.68-2.74
Be  0.2361  0.2361  0.7018  3 Be 2.26-2.27
Be  0.5754  0.5754  0.7205  3 Be 2.26-2.27
Tl  0.8058  0.8058  0.4077  6 Be 2.71-2.79, 2 Mg 3.03-3.04

Computed properties:
* Fermi-level density of states: 1.49 states/eV/f.u.
* distance to the lowest polymorph of the same formula: 0 meV/atom
* calculated formation energy: 0.356 eV/atom
* ρ: 5.992 g cm⁻³

(5)
Computed, not measured: a relaxed MgBe2Tl crystal at the PBE-GGA level of DFT.

Unit cell a=8.3139 b=8.3139 c=8.3139 alpha=22.10 beta=22.10 gamma=22.10
Last column: nearest neighbours and their distance in Å.
Sites, in units of the cell vectors:
Mg  0.0000  0.0000  0.0000  6 Be 2.74
Be  0.2498  0.2498  0.2498  3 Tl 2.73, 3 Mg 2.74
Be  0.7502  0.7502  0.7502  3 Tl 2.73, 3 Mg 2.74
Tl  0.5000  0.5000  0.5000  6 Be 2.73

Computed properties:
* Fermi-level density of states: 1.64 states/eV/f.u.
* distance to the lowest polymorph of the same formula: 346 meV/atom
* calculated formation energy: 0.701 eV/atom
* ρ: 5.744 g cm⁻³

(6)
Computed, not measured: a relaxed MgBeTl2 crystal at the PBE-GGA level of DFT.

Unit cell a=4.6273 b=4.6273 c=4.1095 alpha=90.00 beta=90.00 gamma=90.00
Last column: nearest neighbours and their distance in Å.
Sites, in units of the cell vectors:
Mg  0.0000  0.0000  0.0000  8 Tl 3.09, 4 Be 3.27
Be  0.5000  0.5000  0.0000  8 Tl 3.09, 4 Mg 3.27
Tl  0.0000  0.5000  0.5000  4 Be 3.09, 4 Mg 3.09, 4 Tl 3.27
Tl  0.5000  0.0000  0.5000  4 Be 3.09, 4 Mg 3.09, 4 Tl 3.27

Computed properties:
* Fermi-level density of states: 1.06 states/eV/f.u.
* distance to the lowest polymorph of the same formula: 97 meV/atom
* calculated formation energy: 0.427 eV/atom
* ρ: 8.343 g cm⁻³

(7)
Computed, not measured: a relaxed MgBe2Tl crystal at the PBE-GGA level of DFT.

Unit cell a=4.8925 b=4.8240 c=4.0957 alpha=65.94 beta=64.20 gamma=49.86
Last column: nearest neighbours and their distance in Å.
Sites, in units of the cell vectors:
Mg  0.0000  0.0000  0.0000  8 Be 2.83, 4 Tl 2.84-2.95
Be  0.2500  0.2500  0.2500  4 Tl 2.83, 4 Mg 2.83, 4 Be 2.84-2.95
Be  0.7500  0.7500  0.7500  4 Mg 2.83, 4 Tl 2.83, 4 Be 2.84-2.95
Tl  0.5000  0.5000  0.5000  8 Be 2.83, 4 Mg 2.84-2.95

Computed properties:
* Fermi-level density of states: 1.45 states/eV/f.u.
* distance to the lowest polymorph of the same formula: 239 meV/atom
* calculated formation energy: 0.595 eV/atom
* ρ: 6.266 g cm⁻³

(8)
Computed, not measured: a relaxed MgBeTl2 crystal at the PBE-GGA level of DFT.

Unit cell a=5.7089 b=5.7089 c=3.3303 alpha=104.60 beta=104.60 gamma=109.11
Last column: nearest neighbours and their distance in Å.
Sites, in units of the cell vectors:
Mg  0.0000  0.0000  0.0000  4 Tl 2.92
Be  0.5000  0.5000  0.0000  4 Tl 2.92
Tl  0.0000  0.5000  0.5000  2 Be 2.92, 2 Mg 2.92
Tl  0.5000  0.0000  0.5000  2 Mg 2.92, 2 Be 2.92

Computed properties:
* Fermi-level density of states: 1.72 states/eV/f.u.
* distance to the lowest polymorph of the same formula: 153 meV/atom
* calculated formation energy: 0.483 eV/atom
* ρ: 7.948 g cm⁻³

(9)
Computed, not measured: a relaxed Mg2Be2Tl crystal at the PBE-GGA level of DFT.

Unit cell a=6.4912 b=6.4912 c=4.0491 alpha=90.00 beta=90.00 gamma=90.00
Last column: nearest neighbours and their distance in Å.
Sites, in units of the cell vectors:
Mg  0.1641  0.3359  0.0000  6 Be 2.74-2.85, 1 Mg 3.01
Mg  0.3359  0.8359  0.0000  6 Be 2.74-2.85, 1 Mg 3.01
Mg  0.6641  0.1641  0.0000  6 Be 2.74-2.85, 1 Mg 3.01
Mg  0.8359  0.6641  0.0000  6 Be 2.74-2.85, 1 Mg 3.01
Be  0.1168  0.6168  0.5000  1 Be 2.14
Be  0.3832  0.1168  0.5000  1 Be 2.14
Be  0.6168  0.8832  0.5000  1 Be 2.14
Be  0.8832  0.3832  0.5000  1 Be 2.14
Tl  0.0000  0.0000  0.5000  4 Be 2.60
Tl  0.5000  0.5000  0.5000  4 Be 2.60

Computed properties:
* Fermi-level density of states: 1.81 states/eV/f.u.
* calculated formation energy: 0.260 eV/atom
* ρ: 5.276 g cm⁻³

(10)
Computed, not measured: a relaxed MgBe2Tl crystal at the PBE-GGA level of DFT.

Unit cell a=2.8951 b=3.0633 c=7.6714 alpha=90.00 beta=90.00 gamma=90.00
Last column: nearest neighbours and their distance in Å.
Sites, in units of the cell vectors:
Mg  0.0000  0.0000  0.0000  5 Be 2.71-2.78, 2 Mg 2.90
Be  0.0000  0.0000  0.3533  4 Be 2.29
Be  0.5000  0.5000  0.2367  4 Be 2.29
Tl  0.5000  0.5000  0.6475  4 Tl 2.90-3.06, 5 Be 3.09-3.15

Computed properties:
* Fermi-level density of states: 0.78 states/eV/f.u.
* distance to the lowest polymorph of the same formula: 75 meV/atom
* calculated formation energy: 0.430 eV/atom
* ρ: 6.022 g cm⁻³

(11)
Computed, not measured: a relaxed MgBeTl2 crystal at the PBE-GGA level of DFT.

Unit cell a=8.9917 b=8.9917 c=8.9917 alpha=21.73 beta=21.73 gamma=21.73
Last column: nearest neighbours and their distance in Å.
Sites, in units of the cell vectors:
Mg  0.0000  0.0000  0.0000  6 Tl 3.13, 6 Mg 3.39
Be  0.5000  0.5000  0.5000  6 Tl 2.76
Tl  0.2405  0.2405  0.2405  3 Be 2.76
Tl  0.7595  0.7595  0.7595  3 Be 2.76

Computed properties:
* Fermi-level density of states: 1.19 states/eV/f.u.
* distance to the lowest polymorph of the same formula: 25 meV/atom
* calculated formation energy: 0.354 eV/atom
* ρ: 8.407 g cm⁻³

(12)
Computed, not measured: a relaxed MgBeTl2 crystal at the PBE-GGA level of DFT.

Unit cell a=4.6134 b=4.6134 c=6.0908 alpha=102.47 beta=102.47 gamma=44.59
Last column: nearest neighbours and their distance in Å.
Sites, in units of the cell vectors:
Mg  0.0000  0.0000  0.0000  6 Tl 2.94-3.05
Be  0.5000  0.5000  0.5000  6 Tl 2.76-2.87
Tl  0.2357  0.2357  0.7169  3 Be 2.76-2.87, 3 Mg 2.94-3.05
Tl  0.7643  0.7643  0.2831  3 Be 2.76-2.87, 3 Mg 2.94-3.05

Computed properties:
* Fermi-level density of states: 1.56 states/eV/f.u.
* distance to the lowest polymorph of the same formula: 47 meV/atom
* calculated formation energy: 0.376 eV/atom
* ρ: 8.295 g cm⁻³

(13)
Computed, not measured: a relaxed MgBe2Tl crystal at the PBE-GGA level of DFT.

Unit cell a=3.3399 b=4.1511 c=4.9554 alpha=90.00 beta=90.00 gamma=90.00
Last column: nearest neighbours and their distance in Å.
Sites, in units of the cell vectors:
Mg  0.0000  0.0000  0.0000  8 Be 2.88, 4 Tl 2.99
Be  0.5000  0.5000  0.2210  1 Be 2.19
Be  0.5000  0.5000  0.7790  1 Be 2.19
Tl  0.5000  0.0000  0.5000  4 Be 2.49

Computed properties:
* Fermi-level density of states: 1.23 states/eV/f.u.
* distance to the lowest polymorph of the same formula: 115 meV/atom
* calculated formation energy: 0.471 eV/atom
* ρ: 5.963 g cm⁻³

(14)
Computed, not measured: a relaxed MgBeTl2 crystal at the PBE-GGA level of DFT.

Unit cell a=5.5406 b=5.5406 c=5.5406 alpha=141.19 beta=119.52 gamma=74.22
Last column: nearest neighbours and their distance in Å.
Sites, in units of the cell vectors:
Mg  0.0000  0.0000  0.0000  8 Tl 3.10-3.39, 4 Be 3.34
Be  0.5000  0.5000  0.0000  4 Tl 2.66
Tl  0.2822  0.7822  0.5000  2 Be 2.66
Tl  0.7178  0.2178  0.5000  2 Be 2.66

Computed properties:
* Fermi-level density of states: 1.64 states/eV/f.u.
* distance to the lowest polymorph of the same formula: 67 meV/atom
* calculated formation energy: 0.397 eV/atom
* ρ: 8.085 g cm⁻³

(15)
Computed, not measured: a relaxed MgBe2Tl crystal at the PBE-GGA level of DFT.

Unit cell a=4.5308 b=4.5308 c=4.5308 alpha=60.00 beta=60.00 gamma=60.00
Last column: nearest neighbours and their distance in Å.
Sites, in units of the cell vectors:
Mg  0.0000  0.0000  0.0000  4 Tl 2.77, 4 Be 2.77
Be  0.2500  0.2500  0.2500  4 Mg 2.77, 4 Be 2.77
Be  0.5000  0.5000  0.5000  4 Tl 2.77, 4 Be 2.77
Tl  0.7500  0.7500  0.7500  4 Be 2.77, 4 Mg 2.77

Computed properties:
* Fermi-level density of states: 1.57 states/eV/f.u.
* distance to the lowest polymorph of the same formula: 309 meV/atom
* calculated formation energy: 0.665 eV/atom
* ρ: 6.229 g cm⁻³